[1]
# TbPr2Ho3Er6

A relaxed structure of TbPr2Ho3Er6 (PBE, Alexandria).

Properties
formation energy = 0.3 eV per formula unit

Cell and atoms, written as POSCAR:
```
TbPr2Ho3Er6
1.0
3.077 -5.325 0.000
3.077 5.325 0.000
-2.044 0.000 11.551
Tb Pr Ho Er
1 2 3 6
Cartesian
0.000 0.000 0.000 Tb
3.077 1.775 0.000 Pr
3.077 -1.775 0.000 Pr
2.055 3.552 5.775 Ho
2.055 0.000 5.775 Ho
2.055 -3.552 5.775 Ho
1.029 1.771 2.932 Er
-0.004 0.000 8.617 Er
1.029 -1.771 2.932 Er
3.081 1.771 8.619 Er
4.114 0.000 2.934 Er
3.081 -1.771 8.619 Er
```



[2]
# La4Rh2N

A relaxed structure of La4Rh2N (PBE, Alexandria).

Properties
E_form (uncorrected) = -5.1 eV per formula unit

Cell and atoms, written as POSCAR:
```
La4Rh2N
1.0
4.970 0.000 0.000
0.000 4.970 0.000
0.000 0.000 14.509
La Rh N
8 4 2
Cartesian
0.000 0.000 2.711 La
0.000 0.000 11.798 La
0.000 2.485 0.000 La
0.000 2.485 7.255 La
2.485 0.000 0.000 La
2.485 0.000 7.255 La
2.485 2.485 4.544 La
2.485 2.485 9.966 La
0.000 0.000 5.267 Rh
0.000 0.000 9.242 Rh
2.485 2.485 1.987 Rh
2.485 2.485 12.522 Rh
0.000 0.000 0.000 N
2.485 2.485 7.255 N
```



[3]
# Al2ZnNO

A relaxed structure of Al2ZnNO (PBE, Alexandria).

Properties
E_form (uncorrected) = 0.7 eV per formula unit

Cell and atoms, written as POSCAR:
```
Al2ZnNO
1.0
3.693 0.000 0.000
0.000 3.693 0.000
0.000 0.000 5.078
Al Zn N O
2 1 1 1
Cartesian
0.000 1.847 0.000 Al
1.847 0.000 0.000 Al
0.000 0.000 2.539 Zn
0.000 0.000 0.000 N
1.847 1.847 2.539 O
```



[4]
# PmBiCl6

A relaxed structure of PmBiCl6 (PBE, Alexandria).

Properties
E_form (uncorrected) = -12.8 eV per formula unit

Cell and atoms, written as POSCAR:
```
PmBiCl6
1.0
6.796 0.000 0.000
-3.398 5.885 0.000
0.000 0.000 12.577
Pm Bi Cl
2 2 12
Cartesian
0.000 3.923 3.144 Pm
3.398 1.962 9.433 Pm
0.000 0.000 0.000 Bi
0.000 0.000 6.289 Bi
-1.092 1.967 1.564 Cl
-2.240 3.956 4.724 Cl
1.092 1.967 4.724 Cl
-1.148 5.847 1.564 Cl
2.250 0.038 7.853 Cl
1.158 1.929 11.013 Cl
2.240 3.956 1.564 Cl
1.148 5.847 4.724 Cl
4.546 0.038 11.013 Cl
2.306 3.918 7.853 Cl
5.638 1.929 7.853 Cl
4.490 3.918 11.013 Cl
```



[5]
# Tc2HgSe

A relaxed structure of Tc2HgSe (PBE, Alexandria).

Properties
E_form (uncorrected) = 1.7 eV per formula unit

Cell and atoms, written as POSCAR:
```
Tc2HgSe
1.0
3.009 0.000 0.000
0.000 4.568 0.000
0.000 0.000 5.230
Tc Hg Se
2 1 1
Cartesian
0.000 0.000 0.000 Tc
1.504 2.284 0.736 Tc
0.000 2.284 3.451 Hg
1.504 0.000 1.900 Se
```



[6]
# ZrTi2Cr

A relaxed structure of ZrTi2Cr (PBE, Alexandria).

Properties
formation energy = 1.7 eV per formula unit

Cell and atoms, written as POSCAR:
```
ZrTi2Cr
1.0
7.111 0.000 0.000
0.000 7.111 0.000
0.000 0.000 5.583
Zr Ti Cr
4 8 4
Cartesian
0.000 0.000 0.000 Zr
0.000 3.555 1.396 Zr
3.555 0.000 4.188 Zr
3.555 3.555 2.792 Zr
1.476 1.778 3.490 Ti
1.778 5.031 4.885 Ti
1.778 5.635 2.094 Ti
2.080 1.778 0.698 Ti
5.031 5.333 0.698 Ti
5.333 1.476 2.094 Ti
5.333 2.080 4.885 Ti
5.635 5.333 3.490 Ti
0.000 0.000 2.792 Cr
0.000 3.555 4.188 Cr
3.555 0.000 1.396 Cr
3.555 3.555 0.000 Cr
```



[7]
# Nb2ZnCdH

A relaxed structure of Nb2ZnCdH (PBE, Alexandria).

Cell and atoms, written as POSCAR:
```
Nb2ZnCdH
1.0
4.017 0.000 0.000
0.000 4.017 0.000
0.000 0.000 4.568
Nb Zn Cd H
2 1 1 1
Cartesian
0.000 2.008 0.000 Nb
2.008 0.000 0.000 Nb
0.000 0.000 2.284 Zn
2.008 2.008 2.284 Cd
0.000 0.000 0.000 H
```



[8]
# Ba3YTm3Se8

A relaxed structure of Ba3YTm3Se8 (PBE, Alexandria).

Properties
E_form (uncorrected) = -28.6 eV per formula unit

Cell and atoms, written as POSCAR:
```
Ba3YTm3Se8
1.0
4.175 2.411 7.516
-4.175 2.411 7.516
0.000 -4.821 7.516
Ba Y Tm Se
3 1 3 8
Cartesian
-2.088 -1.205 7.516 Ba
-2.088 1.205 15.032 Ba
0.000 2.411 7.516 Ba
0.000 0.000 11.274 Y
-4.175 0.000 11.274 Tm
-2.088 1.205 3.758 Tm
2.088 1.205 3.758 Tm
-2.127 -1.228 12.848 Se
0.000 0.000 5.327 Se
0.000 -2.456 9.700 Se
-2.127 1.228 9.700 Se
2.127 -1.228 12.848 Se
0.000 2.456 12.848 Se
0.000 0.000 17.221 Se
2.127 1.228 9.700 Se
```



[9]
# TaRhC3

A relaxed structure of TaRhC3 (PBE, Alexandria).

Properties
formation energy = 11.1 eV per formula unit

Cell and atoms, written as POSCAR:
```
TaRhC3
1.0
3.907 0.000 0.000
0.000 3.907 0.000
0.000 0.000 3.907
Ta Rh C
1 1 3
Cartesian
0.000 0.000 0.000 Ta
1.954 1.954 1.954 Rh
0.000 1.954 1.954 C
1.954 0.000 1.954 C
1.954 1.954 0.000 C
```



[10]
# CeTlReO6

A relaxed structure of CeTlReO6 (PBE, Alexandria).

Properties
E_form (uncorrected) = -18.0 eV per formula unit

Cell and atoms, written as POSCAR:
```
CeTlReO6
1.0
5.681 0.000 0.000
-2.841 4.920 0.000
0.000 0.000 5.898
Ce Tl Re O
1 1 1 6
Cartesian
0.000 0.000 0.000 Ce
2.841 1.640 2.949 Tl
0.000 3.280 0.000 Re
-0.648 1.856 1.088 O
-1.558 3.431 4.810 O
0.648 1.856 4.810 O
-0.910 4.554 1.088 O
1.558 3.431 1.088 O
0.910 4.554 4.810 O
```



[11]
# RbCa2LaBi

A relaxed structure of RbCa2LaBi (PBE, Alexandria).

Properties
formation energy = 1.3 eV per formula unit

Cell and atoms, written as POSCAR:
```
RbCa2LaBi
1.0
6.603 0.000 0.000
0.000 6.603 0.000
0.000 0.000 6.276
Rb Ca La Bi
1 2 1 1
Cartesian
0.000 0.000 0.000 Rb
0.000 3.301 3.138 Ca
3.301 0.000 3.138 Ca
3.301 3.301 3.138 La
3.301 3.301 0.000 Bi
```



[12]
# ZrCl

A relaxed structure of ZrCl (PBE, Alexandria).

Properties
E_form (uncorrected) = -0.6 eV per formula unit

Cell and atoms, written as POSCAR:
```
ZrCl
1.0
4.722 0.000 0.000
0.000 6.782 0.000
0.000 0.000 6.042
Zr Cl
4 4
Cartesian
0.000 0.500 1.510 Zr
0.000 6.282 4.531 Zr
2.361 2.891 4.531 Zr
2.361 3.892 1.510 Zr
0.000 3.026 1.510 Cl
0.000 3.756 4.531 Cl
2.361 0.365 4.531 Cl
2.361 6.417 1.510 Cl
```



no.,uncorrected energy (eV/atom)
1,-4.587
2,-6.839
3,-4.277
4,-4.061
5,-5.714
6,-8.056
7,-5.109
8,-5.475
9,-7.152
10,-7.609
11,-2.493
12,-5.488